[1]
Computed, not measured: an optimized crystal structure of Cu2ICl at the PBE-GGA level of DFT.

Cell lengths 6.8316, 6.8316, 6.8316 Å; angles 90.00, 90.00, 90.00 degrees
Space group Fm-3m (No. 225)
One atom of each set of equivalent atoms:
1 Cu 0.2500 0.2500 0.2500 [8 per cell]
2 I 0.0000 0.0000 0.0000 [4 per cell]
3 Cl 0.0000 0.0000 0.5000 [4 per cell]

Computed properties:
* crystal system: cubic
* formation energy (no corrections): 0.2694 eV per atom
* distance to the lowest polymorph of the same formula: 512 meV per atom


[2]
Computed, not measured: an optimized crystal structure of Ce2CdCo at the PBE-GGA level of DFT.

Cell lengths 3.5225, 3.5225, 7.3136 Å; angles 90.00, 90.00, 90.00 degrees
Space group P4/mmm (No. 123)
One atom of each set of equivalent atoms:
1 Ce 0.0000 0.0000 0.1927 [2 per cell]
2 Cd 0.5000 0.5000 0.5000 [1 per cell]
3 Co 0.5000 0.5000 0.0000 [1 per cell]

Computed properties:
* crystal system: tetragonal
* energy of formation: -0.1469 eV per atom
* distance to the lowest polymorph of the same formula: 0 meV per atom


[3]
Computed, not measured: an optimized crystal structure of TiBAs2 at the PBE-GGA level of DFT.

Cell lengths 5.8845, 5.8845, 8.0847 Å; angles 90.00, 90.00, 90.00 degrees
Space group I-42d (No. 122)
One atom of each set of equivalent atoms:
1 Ti 0.0000 0.0000 0.0000 [4 per cell]
2 B 0.0000 0.0000 0.5000 [4 per cell]
3 As 0.1799 0.2500 0.6250 [8 per cell]

Computed properties:
* crystal system: tetragonal
* energy of formation: 0.0361 eV per atom


[4]
Computed, not measured: an optimized crystal structure of AlP4Ru at the PBE-GGA level of DFT.

Cell lengths 7.0323, 7.0323, 7.0323 Å; angles 90.00, 90.00, 90.00 degrees
Space group F-43m (No. 216)
One atom of each set of equivalent atoms:
1 Al 0.0000 0.0000 0.0000 [4 per cell]
2 P 0.1270 0.1270 0.6270 [16 per cell]
3 Ru 0.2500 0.2500 0.2500 [4 per cell]

Computed properties:
* crystal system: cubic
* energy of formation: 0.6828 eV per atom


[5]
Computed, not measured: an optimized crystal structure of Nb3CrFe at the PBE-GGA level of DFT.

Cell lengths 4.5385, 4.5385, 4.5385 Å; angles 90.00, 90.00, 90.00 degrees
Space group Pm-3m (No. 221)
One atom of each set of equivalent atoms:
1 Nb 0.0000 0.0000 0.5000 [3 per cell]
2 Cr 0.5000 0.5000 0.5000 [1 per cell]
3 Fe 0.0000 0.0000 0.0000 [1 per cell]

Computed properties:
* crystal system: cubic
* energy of formation: 1.0781 eV per atom
* distance to the lowest polymorph of the same formula: 0 meV per atom


[6]
Computed, not measured: an optimized crystal structure of YNb2CoPt at the PBE-GGA level of DFT.

Cell lengths 4.9388, 4.9388, 4.7142 Å; angles 90.00, 90.00, 90.00 degrees
Space group P4/mmm (No. 123)
One atom of each set of equivalent atoms:
1 Y 0.0000 0.0000 0.0000 [1 per cell]
2 Nb 0.0000 0.5000 0.5000 [2 per cell]
3 Co 0.5000 0.5000 0.0000 [1 per cell]
4 Pt 0.5000 0.5000 0.5000 [1 per cell]

Computed properties:
* crystal system: tetragonal
* energy of formation: 0.7344 eV per atom


[7]
Computed, not measured: an optimized crystal structure of Th2Si3 at the PBE-GGA level of DFT.

Cell lengths 9.9136, 9.9136, 9.9136 Å; angles 90.00, 90.00, 90.00 degrees
Space group I-43d (No. 220)
One atom of each set of equivalent atoms:
1 Th 0.0417 0.4583 0.5417 [16 per cell]
2 Si 0.0000 0.2500 0.7593 [24 per cell]

Computed properties:
* crystal system: cubic
* formation energy (no corrections): -0.4294 eV per atom
* distance to the lowest polymorph of the same formula: 166 meV per atom


[8]
Computed, not measured: an optimized crystal structure of LaTbPdPt at the PBE-GGA level of DFT.

Cell lengths 7.1933, 7.1933, 7.1933 Å; angles 90.00, 90.00, 90.00 degrees
Space group F-43m (No. 216)
One atom of each set of equivalent atoms:
1 La 0.0000 0.0000 0.0000 [4 per cell]
2 Tb 0.0000 0.0000 0.5000 [4 per cell]
3 Pd 0.2500 0.2500 0.2500 [4 per cell]
4 Pt 0.2500 0.2500 0.7500 [4 per cell]

Computed properties:
* crystal system: cubic
* energy of formation: -0.9580 eV per atom
* distance to the lowest polymorph of the same formula: 90 meV per atom


Volume readings, ordered: 318.8 90.7 280.0 347.8 93.5 115.0 974.3 372.2 Å³ per cell
Uncorrected energy readings, ordered: -2.628 -5.119 -5.932 -5.094 -8.581 -7.216 -6.651 -6.156 eV per atom